Here is a PBEsol-optimized structure of KY2Se from Alexandria. Energies are from SCAN.

Results
The calculation puts the total energy at -21.822 eV per atom. The calculation puts the density of states at the Fermi level at 3.140 states/eV/cell. Its volume is 33.9 Å³ per atom. As for the space-group type: Pm (6).

abc: 3.8034 3.8541 9.4252
angles: 101.45 90.00 90.00
Sites, in units of the cell vectors:
K  0.0000  0.2007  0.5383
Se  0.5000  0.3648  0.8460
Y  0.0000  0.9112  0.9420
Y  0.5000  0.5233  0.1737

***

Here is a PBEsol-optimized structure of K6ZnSe4 from Alexandria. Energies are from SCAN.

Results
The calculation puts the total energy at -14.333 eV per atom. The calculation puts the density of states at the Fermi level at 0.000 states/eV/cell. Its volume is 31.4 Å³ per atom. As for the space-group type: P6_3mc (186).

abc: 7.7981 10.1128 10.1128
angles: 120.00 90.00 90.00
Sites, in units of the cell vectors:
K  0.9530  0.2952  0.1476
K  0.9530  0.8524  0.7048
K  0.9530  0.8524  0.1476
K  0.4530  0.7048  0.8524
K  0.4530  0.1476  0.2952
K  0.4530  0.1476  0.8524
K  0.1340  0.0515  0.5258
K  0.1340  0.4742  0.9485
K  0.1340  0.4742  0.5258
K  0.6340  0.9485  0.4742
K  0.6340  0.5258  0.0515
K  0.6340  0.5258  0.4742
Zn  0.2519  0.6667  0.3333
Zn  0.7519  0.3333  0.6667
Se  0.9282  0.6667  0.3333
Se  0.4282  0.3333  0.6667
Se  0.3497  0.3934  0.1967
Se  0.3497  0.8033  0.6066
Se  0.3497  0.8033  0.1967
Se  0.8497  0.6066  0.8033
Se  0.8497  0.1967  0.3934
Se  0.8497  0.1967  0.8033

***

Here is a PBEsol-optimized structure of KZn3Se from Alexandria. Energies are from SCAN.

Results
The calculation puts the total energy at -12.798 eV per atom. The calculation puts the density of states at the Fermi level at 4.558 states/eV/cell. Its volume is 38.8 Å³ per atom. As for the space-group type: Pm-3m (221).

abc: 5.7913 5.7913 5.7913
angles: 90.00 90.00 90.00
Sites, in units of the cell vectors:
Zn  0.0000  0.5000  0.0000
Zn  0.0000  0.0000  0.5000
Zn  0.5000  0.0000  0.0000
K  0.0000  0.0000  0.0000
Se  0.5000  0.5000  0.5000

***

Here is a PBEsol-optimized structure of KZn2Se from Alexandria. Energies are from SCAN.

Results
The calculation puts the total energy at -13.768 eV per atom. The calculation puts the density of states at the Fermi level at 1.561 states/eV/cell. Its volume is 22.8 Å³ per atom. As for the space-group type: Cmmm (65).

abc: 2.7708 5.8601 6.3301
angles: 117.57 90.00 90.00
Sites, in units of the cell vectors:
K  0.5000  0.0000  0.0000
Se  0.5000  0.5000  0.0000
Zn  0.0000  0.0000  0.5000
Zn  0.0000  0.5000  0.5000

***

Here is a PBEsol-optimized structure of KZnSe from Alexandria. Energies are from SCAN.

Results
The calculation puts the total energy at -14.330 eV per atom. The calculation puts the density of states at the Fermi level at 1.345 states/eV/cell. Its volume is 29.3 Å³ per atom. As for the space-group type: F-43m (216).

abc: 4.9909 4.9909 4.9909
angles: 60.00 60.00 60.00
Sites, in units of the cell vectors:
K  0.5000  0.5000  0.5000
Se  0.2500  0.2500  0.2500
Zn  0.0000  0.0000  0.0000

***

Here is a PBEsol-optimized structure of KZrSe3 from Alexandria. Energies are from SCAN.

Results
The calculation puts the total energy at -19.009 eV per atom. The calculation puts the density of states at the Fermi level at 5.476 states/eV/cell. Its volume is 27.9 Å³ per atom. As for the space-group type: Pm-3m (221).

abc: 5.1839 5.1839 5.1839
angles: 90.00 90.00 90.00
Sites, in units of the cell vectors:
K  0.0000  0.0000  0.0000
Se  0.0000  0.5000  0.0000
Se  0.0000  0.0000  0.5000
Se  0.5000  0.0000  0.0000
Zr  0.5000  0.5000  0.5000

***

Here is a PBEsol-optimized structure of KZr2Se from Alexandria. Energies are from SCAN.

Results
The calculation puts the total energy at -22.599 eV per atom. The calculation puts the density of states at the Fermi level at 4.451 states/eV/cell. Its volume is 29.4 Å³ per atom. As for the space-group type: Cm (8).

abc: 3.2933 5.3557 7.1655
angles: 101.14 90.00 107.91
Sites, in units of the cell vectors:
K  0.4714  0.9428  0.4545
Se  0.7166  0.4332  0.1820
Zr  0.0291  0.0581  0.9602
Zr  0.2829  0.5659  0.9033

***

Here is a PBEsol-optimized structure of K3ZrSe from Alexandria. Energies are from SCAN.

Results
The calculation puts the total energy at -14.902 eV per atom. The calculation puts the density of states at the Fermi level at 5.990 states/eV/cell. Its volume is 47.1 Å³ per atom. As for the space-group type: Pm-3m (221).

abc: 6.1735 6.1735 6.1735
angles: 90.00 90.00 90.00
Sites, in units of the cell vectors:
K  0.0000  0.5000  0.0000
K  0.0000  0.0000  0.5000
K  0.5000  0.0000  0.0000
Se  0.0000  0.0000  0.0000
Zr  0.5000  0.5000  0.5000

***

What is the formula in the third record?
KZn3Se